[1]
VASP calculation (PBE) on a relaxed Li2AgHgAu2 crystal.

Output
density	11.4	g cm⁻³
space group	No. 26
energy of formation	-1.9	eV/f.u.
spin magnetization	0.000	μB/atom

Cell and atoms, written as extended XYZ:
```
12
Lattice="-3.089 -2.176 1.907 3.884 -2.642 3.277 -0.745 6.233 5.908" Properties=species:S:1:pos:R:3 pbc="T T T"
Li 0.510 1.390 7.109
Li 0.758 4.390 6.239
Li -1.169 0.508 3.383
Li 3.232 -1.378 3.662
Au 2.736 2.886 7.725
Au 0.093 3.485 8.826
Au 1.284 0.107 2.201
Au -1.114 -1.341 1.361
Ag -1.484 2.732 5.411
Ag 0.718 -0.761 4.990
Hg 3.166 0.601 5.815
Hg 1.196 2.158 4.401
```

=====

[2]
VASP calculation (PBE) on a relaxed LaNd12Sm3 crystal.

Output
density	6.9	g cm⁻³
space group	No. 123
energy of formation	0.2	eV/f.u.
spin magnetization	0.000	μB/atom

Cell and atoms, written as extended XYZ:
```
16
Lattice="-4.238 -1.180 -2.774 -2.740 -0.488 4.393 -5.026 20.150 -0.896" Properties=species:S:1:pos:R:3 pbc="T T T"
Nd -5.258 11.994 -1.946
Nd -2.756 1.962 -1.500
Nd -2.006 2.309 2.083
Nd -4.753 4.236 0.584
Nd -6.508 17.007 -2.169
Nd -3.489 -0.834 0.810
Nd -4.006 6.976 -1.723
Nd -5.759 17.354 1.414
Nd -6.002 9.241 0.362
Nd -3.257 7.322 1.860
Nd -7.250 14.246 0.139
Nd -4.509 12.340 1.637
Sm -1.260 5.052 -0.225
Sm -2.513 10.075 -0.448
Sm -3.766 15.098 -0.671
La 0.000 0.000 0.000
```

=====

[3]
VASP calculation (PBE) on a relaxed Mn2TlIn crystal.

Output
density	9.5	g cm⁻³
space group	No. 123
energy of formation	1.6	eV/f.u.
spin magnetization	1.727	μB/atom

Cell and atoms, written as extended XYZ:
```
4
Lattice="3.057 0.000 0.000 0.000 3.057 0.000 0.000 0.000 8.042" Properties=species:S:1:pos:R:3 pbc="T T T"
Mn 0.000 0.000 4.088
Mn 0.000 0.000 7.975
In 1.529 1.529 6.032
Tl 1.529 1.529 2.011
```

=====

[4]
VASP calculation (PBE) on a relaxed GaBiCl crystal.

Output
density	5.5	g cm⁻³
space group	No. 2
spin magnetization	0.000	μB/atom
raw formation energy	-418	meV per atom

Cell and atoms, written as extended XYZ:
```
6
Lattice="-0.889 -2.806 -1.755 5.633 -4.317 3.542 -1.908 -3.838 6.684" Properties=species:S:1:pos:R:3 pbc="T T T"
Bi -0.667 -5.354 5.096
Bi 3.503 -5.607 3.375
Ga 1.876 -6.398 5.482
Ga 0.960 -4.563 2.990
Cl 0.920 -2.186 2.553
Cl 1.916 -8.775 5.919
```

=====

[5]
VASP calculation (PBE) on a relaxed AcPrAg3 crystal.

Output
density	8.3	g cm⁻³
space group	No. 63
energy of formation	-1.4	eV/f.u.
spin magnetization	0.000	μB/atom

Cell and atoms, written as extended XYZ:
```
10
Lattice="-0.689 4.784 0.696 -1.277 0.357 -3.718 -12.757 -2.741 6.213" Properties=species:S:1:pos:R:3 pbc="T T T"
Pr -6.092 2.521 2.334
Pr -8.631 -0.122 0.856
Ag -9.179 1.931 3.337
Ag -5.544 0.469 -0.147
Ag -10.304 -0.742 3.467
Ag -4.419 3.142 -0.277
Ag -12.926 -1.244 4.319
Ag -1.797 3.643 -1.129
Ac -12.551 1.586 2.366
Ac -2.172 0.813 0.824
```

=====

[6]
VASP calculation (PBE) on a relaxed IrPt3Rh12 crystal.

Output
density	14.4	g cm⁻³
space group	No. 123
energy of formation	-0.3	eV/f.u.
spin magnetization	0.000	μB/atom

Cell and atoms, written as extended XYZ:
```
16
Lattice="3.865 0.000 0.000 0.000 3.865 0.000 0.000 0.000 15.485" Properties=species:S:1:pos:R:3 pbc="T T T"
Rh 1.932 0.000 1.896
Rh 1.932 0.000 5.807
Rh 0.000 1.932 5.807
Rh 1.932 0.000 9.678
Rh 1.932 1.932 3.853
Rh 1.932 0.000 13.589
Rh 1.932 1.932 0.000
Rh 1.932 1.932 11.632
Rh 1.932 1.932 7.742
Rh 0.000 1.932 1.896
Rh 0.000 1.932 13.589
Rh 0.000 1.932 9.678
Pt 0.000 0.000 11.617
Pt 0.000 0.000 3.868
Pt 0.000 0.000 7.742
Ir 0.000 0.000 0.000
```